1.
Density functional theory data (GGA-PBE) for Cs2UHg2Se5 after structural relaxation.

Properties
VASP energy: -3.974 eV/atom
Space-group type: P2/c (13)
M_tot: 0.200 μB per atom

The structure in extended XYZ format:
```
20
Lattice="10.415 0.000 0.000 0.000 4.351 0.000 -7.034 0.000 15.375" Properties=species:S:1:pos:R:3 pbc="T T T"
Cs -0.727 0.808 6.852
Cs -4.244 3.543 14.540
Cs 7.625 0.808 0.835
Cs 4.108 3.543 8.523
U 3.449 1.286 3.844
U -0.068 3.065 11.531
Hg -3.171 0.553 10.795
Hg 0.346 3.797 3.108
Hg 3.035 0.553 12.267
Hg 6.552 3.797 4.580
Se -5.276 1.831 11.531
Se -1.759 2.520 3.844
Se 1.442 1.388 1.804
Se -2.075 2.963 9.491
Se -1.291 0.884 12.977
Se 2.226 3.467 5.289
Se 1.155 0.884 10.086
Se 4.672 3.467 2.398
Se 5.456 1.388 5.884
Se 1.939 2.963 13.571
```

2.
Density functional theory data (GGA-PBE) for MgNiSbAu after structural relaxation.

Properties
VASP energy: -3.745 eV/atom
Space-group type: F-43m (216)
M_tot: 0.000 μB per atom
Relative energy among the computed polymorphs: 0.0 meV per atom

The structure in extended XYZ format:
```
4
Lattice="0.000 3.305 3.305 3.305 0.000 3.305 3.305 3.305 0.000" Properties=species:S:1:pos:R:3 pbc="T T T"
Mg 0.000 0.000 0.000
Ni 1.652 1.652 1.652
Sb 3.305 3.305 3.305
Au 4.957 4.957 4.957
```

3.
Density functional theory data (GGA-PBE) for ScCd2Pt after structural relaxation.

Properties
VASP energy: -4.073 eV/atom
Space-group type: F-43m (216)
M_tot: 0.000 μB per atom

The structure in extended XYZ format:
```
4
Lattice="0.000 3.351 3.351 3.351 0.000 3.351 3.351 3.351 0.000" Properties=species:S:1:pos:R:3 pbc="T T T"
Sc 0.000 0.000 0.000
Cd 3.351 3.351 3.351
Cd 5.027 5.027 5.027
Pt 1.676 1.676 1.676
```

4.
Density functional theory data (GGA-PBE) for Y4CuAuN2 after structural relaxation.

Properties
VASP energy: -7.119 eV/atom
Space-group type: P-6m2 (187)
M_tot: 0.008 μB per atom

The structure in extended XYZ format:
```
8
Lattice="3.538 0.000 0.000 -1.769 3.064 0.000 0.000 0.000 14.107" Properties=species:S:1:pos:R:3 pbc="T T T"
Y 0.000 0.000 2.080
Y 0.000 0.000 12.027
Y 0.000 2.043 4.806
Y 0.000 2.043 9.300
Cu 0.000 2.043 0.000
Au 0.000 0.000 7.053
N 1.769 1.021 3.457
N 1.769 1.021 10.650
```